Record 1
# PBE As2PtPb, optimized geometry
data_As2PtPb
_cell_length_a 3.4695
_cell_length_b 3.4695
_cell_length_c 7.1532
_cell_angle_alpha 90.00
_cell_angle_beta 90.00
_cell_angle_gamma 90.00
_space_group_name_H-M_alt 'P 4/m m m'
_space_group_IT_number 123
_space_group_name_Hall '-P 4 2'
loop_
_atom_site_label
_atom_site_fract_x
_atom_site_fract_y
_atom_site_fract_z
As1 0.0000 0.0000 0.1770
Pt1 0.5000 0.5000 0.0000
Pb1 0.5000 0.5000 0.5000
# * calculated density: 10.65 g cm⁻³
# * total magnetic moment: 0.00 μB per atom
# * calculated formation energy: 30 meV per atom

Record 2
# PBE Pu2TlO11, optimized geometry
data_Pu2TlO11
_cell_length_a 11.8113
_cell_length_b 10.7284
_cell_length_c 8.8356
_cell_angle_alpha 90.00
_cell_angle_beta 116.10
_cell_angle_gamma 90.00
_space_group_name_H-M_alt 'C 1 m 1'
_space_group_IT_number 8
loop_
_space_group_symop_operation_xyz
'x,y,z'
'x,-y,z'
'x+1/2,y+1/2,z'
'x+1/2,-y+1/2,z'
loop_
_atom_site_label
_atom_site_fract_x
_atom_site_fract_y
_atom_site_fract_z
Pu1 0.0000 0.0000 0.0000
Pu2 0.0036 0.5000 0.6741
Pu3 0.0134 0.5000 0.2238
Pu4 0.4864 0.5000 0.4807
Tl1 0.2508 0.2791 0.5999
O1 0.0966 0.1233 0.4767
O2 0.1007 0.1196 0.1368
O3 0.1046 0.0000 0.7981
O4 0.1234 0.3710 0.6895
O5 0.1262 0.3758 0.3540
O6 0.1381 0.5000 0.0262
O7 0.2230 0.0000 0.8447
O8 0.2487 0.5000 0.0160
O9 0.3625 0.5000 0.1621
O10 0.3852 0.1267 0.6743
O11 0.3846 0.3758 0.5035
O12 0.3985 0.3778 0.8527
O13 0.4062 0.1205 0.0948
O14 0.4445 0.0000 0.4257
# * calculated density: 5.74 g cm⁻³
# * total magnetic moment: 0.05 μB per atom
# * uncorrected formation energy: -1343 meV/atom